# MnVPS2

Crystalline MnVPS2 at its relaxed geometry (PBE-GGA, Alexandria via LeMat-Bulk).

Values from the calculation:
Uncorrected formation energy = 0.374 eV/atom
Excess energy over the best structure of this formula in the dataset = 186.9 meV per atom
Calculated volume = 90.5 Å³ per cell
Total energy = -6.02 eV per atom
Theoretical density = 3.69 g/cm³

Lattice parameters (Å, degrees): 4.535 4.535 4.399 90.00 90.00 90.00
Site moments in Bohr magnetons follow the coordinates.
Atoms (fractional coordinates):
P: 0.000 0.000 0.500  -0.21
S: 0.000 0.500 0.000  -0.11
S: 0.500 0.000 0.000  -0.11
Mn: 0.000 0.000 0.000  2.64
V: 0.500 0.500 0.500  2.81